1.
# TaBeH, relaxed, DFT PBE
data_TaBeH
_chemical_formula_sum 'Ta2 Be2 H2'
_cell_length_a 3.435
_cell_length_b 4.644
_cell_length_c 4.679
_cell_angle_alpha 118.27
_cell_angle_beta 110.85
_cell_angle_gamma 90.40
_symmetry_space_group_name_H-M 'P 1'
_symmetry_Int_Tables_number 1
loop_
_symmetry_equiv_pos_as_xyz
'x,y,z'
loop_
_atom_site_label
_atom_site_fract_x
_atom_site_fract_y
_atom_site_fract_z
Ta1 0.000 0.000 0.000
Ta2 0.421 0.429 0.867
Be1 0.190 0.724 0.432
Be2 0.699 0.013 0.430
H1 0.473 0.306 0.425
H2 0.990 0.584 0.612
# space-group type: P1, No. 1
# volume: 10.003 Å³ per atom
# distance to the lowest polymorph of the same formula: 322 meV/atom
# VASP energy: -6.288 eV/atom

2.
# TaBeH, relaxed, DFT PBE
data_TaBeH
_chemical_formula_sum 'Ta2 Be2 H2'
_cell_length_a 4.978
_cell_length_b 4.978
_cell_length_c 3.516
_cell_angle_alpha 91.18
_cell_angle_beta 91.18
_cell_angle_gamma 40.17
_symmetry_space_group_name_H-M 'P 1'
_symmetry_Int_Tables_number 1
loop_
_symmetry_equiv_pos_as_xyz
'x,y,z'
loop_
_atom_site_label
_atom_site_fract_x
_atom_site_fract_y
_atom_site_fract_z
Ta1 0.000 0.000 0.000
Ta2 0.700 0.700 0.485
Be1 0.280 0.280 0.989
Be2 0.412 0.412 0.486
H1 0.536 0.536 0.779
H2 0.793 0.793 0.993
# space-group type: Cm, No. 8
# volume: 9.363 Å³ per atom
# distance to the lowest polymorph of the same formula: 88 meV/atom
# VASP energy: -6.522 eV/atom

3.
# TaBeH, relaxed, DFT PBE
data_TaBeH
_chemical_formula_sum 'Ta2 Be2 H2'
_cell_length_a 2.921
_cell_length_b 2.921
_cell_length_c 6.928
_cell_angle_alpha 90.00
_cell_angle_beta 90.00
_cell_angle_gamma 90.00
_symmetry_space_group_name_H-M 'P 1'
_symmetry_Int_Tables_number 1
loop_
_symmetry_equiv_pos_as_xyz
'x,y,z'
loop_
_atom_site_label
_atom_site_fract_x
_atom_site_fract_y
_atom_site_fract_z
Ta1 0.250 0.250 0.182
Ta2 0.750 0.750 0.818
Be1 0.250 0.750 0.500
Be2 0.750 0.250 0.500
H1 0.250 0.250 0.863
H2 0.750 0.750 0.137
# space-group type: P4/nmm, No. 129
# volume: 9.854 Å³ per atom
# distance to the lowest polymorph of the same formula: 414 meV/atom
# VASP energy: -6.195 eV/atom

4.
# TaBeH2, relaxed, DFT PBE
data_TaBeH2
_chemical_formula_sum 'Ta2 Be2 H4'
_cell_length_a 3.459
_cell_length_b 4.830
_cell_length_c 4.831
_cell_angle_alpha 103.97
_cell_angle_beta 110.58
_cell_angle_gamma 110.32
_symmetry_space_group_name_H-M 'P 1'
_symmetry_Int_Tables_number 1
loop_
_symmetry_equiv_pos_as_xyz
'x,y,z'
loop_
_atom_site_label
_atom_site_fract_x
_atom_site_fract_y
_atom_site_fract_z
Ta1 0.000 0.000 0.000
Ta2 0.031 0.603 0.419
Be1 0.495 0.305 0.688
Be2 0.742 0.032 0.441
H1 0.268 0.761 0.152
H2 0.365 0.459 0.216
H3 0.416 0.614 0.825
H4 0.611 0.220 0.006
# space-group type: P1, No. 1
# volume: 8.062 Å³ per atom
# distance to the lowest polymorph of the same formula: 75 meV/atom
# VASP energy: -5.629 eV/atom

5.
# TaBeH, relaxed, DFT PBE
data_TaBeH
_chemical_formula_sum 'Ta1 Be1 H1'
_cell_length_a 3.651
_cell_length_b 3.651
_cell_length_c 3.651
_cell_angle_alpha 60.00
_cell_angle_beta 60.00
_cell_angle_gamma 60.00
_symmetry_space_group_name_H-M 'P 1'
_symmetry_Int_Tables_number 1
loop_
_symmetry_equiv_pos_as_xyz
'x,y,z'
loop_
_atom_site_label
_atom_site_fract_x
_atom_site_fract_y
_atom_site_fract_z
Ta1 0.000 0.000 0.000
Be1 0.750 0.750 0.750
H1 0.500 0.500 0.500
# space-group type: F-43m, No. 216
# volume: 11.473 Å³ per atom
# distance to the lowest polymorph of the same formula: 1531 meV/atom
# VASP energy: -5.079 eV/atom

6.
# TaBeH, relaxed, DFT PBE
data_TaBeH
_chemical_formula_sum 'Ta2 Be2 H2'
_cell_length_a 2.858
_cell_length_b 2.858
_cell_length_c 9.253
_cell_angle_alpha 90.00
_cell_angle_beta 90.00
_cell_angle_gamma 120.00
_symmetry_space_group_name_H-M 'P 1'
_symmetry_Int_Tables_number 1
loop_
_symmetry_equiv_pos_as_xyz
'x,y,z'
loop_
_atom_site_label
_atom_site_fract_x
_atom_site_fract_y
_atom_site_fract_z
Ta1 0.000 0.000 0.154
Ta2 0.000 0.000 0.846
Be1 0.333 0.667 0.379
Be2 0.333 0.667 0.621
H1 0.667 0.333 0.000
H2 0.667 0.333 0.500
# space-group type: P-6m2, No. 187
# volume: 10.907 Å³ per atom
# distance to the lowest polymorph of the same formula: 742 meV/atom
# VASP energy: -5.868 eV/atom